#w
La3PrSm | PBE | optimized geometry

Calculated values
- crystal system = orthorhombic

The structure in POSCAR format:
```
La3PrSm
1.0
3.488 -8.296 0.000
3.488 8.296 0.000
0.000 0.000 6.533
La Pr Sm
6 2 2
Cartesian
0.000 0.000 0.000
0.000 0.000 3.267
1.645 2.790 1.633
1.645 -2.790 4.900
5.331 2.790 1.633
5.331 -2.790 4.900
3.488 1.610 4.900
3.488 -1.610 1.633
3.488 5.462 1.633
3.488 -5.462 4.900
```


#x
La3PrSm | PBE | optimized geometry

Calculated values
- crystal system = triclinic

The structure in POSCAR format:
```
La3PrSm
1.0
6.679 0.000 0.000
-3.331 5.812 0.000
-0.089 -3.697 9.319
La Pr Sm
6 2 2
Cartesian
-1.063 0.934 2.909
0.245 -1.226 6.410
1.687 0.944 0.360
1.573 1.172 8.960
3.015 3.342 2.909
4.322 1.181 6.411
-1.665 2.906 0.000
1.630 1.058 4.660
-0.305 4.389 2.929
3.565 -2.274 6.391
```


Here is how they stack up, most stable first: #x, #w.


#w
La2Pr3Sm8 | PBE | optimized geometry

Calculated values
- crystal system = monoclinic

The structure in POSCAR format:
```
La2Pr3Sm8
1.0
10.546 -3.883 0.000
10.546 3.883 0.000
-0.008 0.000 5.754
La Pr Sm
2 3 8
Cartesian
5.121 0.000 2.858
15.964 0.000 2.896
-0.004 0.000 2.877
10.546 1.621 0.000
10.546 -1.621 0.000
2.763 0.000 5.748
8.312 1.626 2.875
7.046 0.000 5.743
12.772 1.626 2.880
8.312 -1.626 2.875
14.038 0.000 0.011
12.772 -1.626 2.880
18.321 0.000 0.006
```


#x
La2Pr3Sm8 | PBE | optimized geometry

Calculated values
- crystal system = monoclinic

The structure in POSCAR format:
```
La2Pr3Sm8
1.0
6.679 -5.962 0.000
6.679 5.962 0.000
-2.459 0.000 5.754
La Pr Sm
2 3 8
Cartesian
1.873 0.000 2.028
9.025 0.000 3.726
6.679 2.856 0.000
5.449 0.000 2.877
6.679 -2.856 0.000
-1.098 0.000 4.489
3.571 3.042 1.841
2.230 0.000 5.488
7.328 3.042 3.913
3.571 -3.042 1.841
8.668 0.000 0.267
7.328 -3.042 3.913
11.996 0.000 1.265
```


Here is how they stack up, most stable first: #x, #w.


#w
La6Pr8Sm | PBE | optimized geometry

Calculated values
- crystal system = trigonal

The structure in POSCAR format:
```
La6Pr8Sm
1.0
3.238 1.870 15.037
-3.238 1.870 15.037
0.000 -3.739 15.037
La Pr Sm
6 8 1
Cartesian
-1.077 -1.874 18.040
-2.162 -0.004 27.071
-1.085 1.870 18.040
1.085 -1.870 27.071
2.162 0.004 18.040
1.077 1.874 27.071
-2.158 -0.001 21.053
-1.078 -1.869 24.058
0.000 0.000 15.037
1.080 -1.868 21.053
-1.080 1.868 24.058
0.000 0.000 30.073
1.078 1.869 21.053
2.158 0.001 24.058
0.000 0.000 0.000
```


#x
La6Pr8Sm | PBE | optimized geometry

Calculated values
- crystal system = trigonal

The structure in POSCAR format:
```
La6Pr8Sm
1.0
4.800 2.771 6.890
-4.800 2.771 6.890
0.000 -5.542 6.890
La Pr Sm
6 8 1
Cartesian
-2.633 -2.386 9.837
-3.383 1.088 10.833
0.749 -3.473 10.833
-0.749 3.473 9.837
3.383 -1.088 9.837
2.633 2.386 10.833
0.000 0.000 1.495
-0.499 -2.048 6.999
-1.524 1.456 6.999
-2.023 -0.592 13.672
2.023 0.592 6.999
1.524 -1.456 13.672
0.499 2.048 13.672
0.000 0.000 19.176
0.000 0.000 10.335
```


Here is how they stack up, most stable first: #w, #x.


#w
La5PrSm8 | PBE | optimized geometry

Calculated values
- crystal system = monoclinic

The structure in POSCAR format:
```
La5PrSm8
1.0
12.166 -1.804 0.000
12.166 1.804 0.000
-3.850 0.000 11.224
La Pr Sm
5 1 8
Cartesian
0.000 0.000 0.000
0.481 0.000 3.519
5.119 0.000 10.612
13.597 0.000 6.476
14.088 0.000 9.998
19.205 0.000 4.998
-1.166 0.000 8.824
3.879 0.000 4.406
6.255 0.000 1.873
7.824 0.000 8.124
10.198 0.000 5.590
15.251 0.000 1.171
16.892 0.000 7.548
21.517 0.000 2.449
```


#x
La5PrSm8 | PBE | optimized geometry

Calculated values
- crystal system = tetragonal

The structure in POSCAR format:
```
La5PrSm8
1.0
-4.876 4.876 5.236
4.876 -4.876 5.236
4.876 4.876 -5.236
La Pr Sm
5 1 8
Cartesian
0.000 0.000 0.000
2.776 3.829 -0.775
5.923 2.776 0.775
2.100 1.047 4.461
-1.047 2.100 6.011
0.000 4.876 2.618
6.596 -0.723 1.111
5.633 3.126 -2.701
3.155 0.723 1.111
4.152 -1.720 4.124
-0.758 1.749 2.535
5.599 1.720 4.124
3.126 4.118 2.701
1.749 0.758 7.936
```


Here is how they stack up, most stable first: #w, #x.


#w
La12Pr5Sm2 | PBE | optimized geometry

Calculated values
- crystal system = triclinic

The structure in POSCAR format:
```
La12Pr5Sm2
1.0
6.506 0.000 0.000
0.698 9.757 0.000
1.484 4.239 10.911
La Pr Sm
12 5 2
Cartesian
1.006 5.908 3.943
2.553 4.202 6.640
2.024 5.643 0.469
2.911 10.866 5.108
3.438 6.872 9.427
4.412 13.068 9.833
4.276 0.928 1.078
5.249 7.124 1.484
5.776 3.130 5.803
6.664 8.353 10.442
6.135 9.794 4.271
7.681 8.088 6.968
0.778 2.643 2.080
4.721 10.010 7.864
4.344 6.998 5.455
3.966 3.986 3.047
7.909 11.353 8.831
2.168 8.780 2.288
6.519 5.216 8.622
```


#x
La12Pr5Sm2 | PBE | optimized geometry

Calculated values
- crystal system = monoclinic

The structure in POSCAR format:
```
La12Pr5Sm2
1.0
9.419 -3.607 0.000
9.419 3.607 0.000
-3.799 0.000 10.216
La Pr Sm
12 5 2
Cartesian
-0.586 0.000 1.750
2.546 1.844 9.863
3.997 1.746 6.399
12.494 1.844 0.353
11.043 1.746 3.817
7.890 0.000 2.535
7.149 0.000 7.681
3.997 -1.746 6.399
2.546 -1.844 9.863
11.043 -1.746 3.817
12.494 -1.844 0.353
15.625 0.000 8.466
0.484 0.000 7.273
4.708 0.000 3.205
9.419 0.000 0.000
10.332 0.000 7.011
14.555 0.000 2.943
7.520 1.961 5.108
7.520 -1.961 5.108
```


Here is how they stack up, most stable first: #w, #x.


#w
La6PrSm2 | PBE | optimized geometry

Calculated values
- crystal system = hexagonal

The structure in POSCAR format:
```
La6PrSm2
1.0
10.153 0.000 0.000
-5.077 8.793 0.000
0.000 0.000 3.661
La Pr Sm
6 1 2
Cartesian
-1.806 3.128 0.000
-3.494 6.053 1.831
1.582 2.741 1.831
3.612 0.000 0.000
3.271 5.665 0.000
6.989 0.000 1.831
0.000 0.000 0.000
0.000 5.862 1.831
5.077 2.931 1.831
```


#x
La6PrSm2 | PBE | optimized geometry

Calculated values
- crystal system = monoclinic

The structure in POSCAR format:
```
La6PrSm2
1.0
4.606 -7.699 0.000
4.606 7.699 0.000
-3.136 0.000 9.407
La Pr Sm
12 2 4
Cartesian
2.253 6.138 5.390
2.254 6.138 8.721
3.848 2.621 0.344
2.126 0.114 2.345
0.558 -0.114 7.048
3.795 2.621 4.359
2.280 -2.621 5.048
5.517 0.114 2.359
3.949 -0.114 7.063
2.227 -2.621 9.063
3.821 -6.138 0.686
3.822 -6.138 4.017
3.822 5.960 2.352
2.254 -5.960 7.055
0.577 3.588 6.508
3.930 3.588 7.603
2.145 -3.588 1.804
5.498 -3.588 2.900
```


Here is how they stack up, most stable first: #w, #x.


#w
LaPr8Sm2 | PBE | optimized geometry

Calculated values
- crystal system = monoclinic

The structure in POSCAR format:
```
LaPr8Sm2
1.0
9.434 -2.621 0.000
9.434 2.621 0.000
-2.181 0.000 7.997
La Pr Sm
1 8 2
Cartesian
0.000 0.000 0.000
0.739 0.000 3.651
1.454 0.000 7.271
5.061 0.000 6.517
7.969 0.000 2.182
8.718 0.000 5.814
11.625 0.000 1.479
15.233 0.000 0.725
15.947 0.000 4.345
4.339 0.000 2.912
12.347 0.000 5.085
```


#x
LaPr8Sm2 | PBE | optimized geometry

Calculated values
- crystal system = monoclinic

The structure in POSCAR format:
```
LaPr8Sm2
1.0
9.097 -3.613 0.000
9.097 3.613 0.000
-1.858 0.000 6.061
La Pr Sm
1 8 2
Cartesian
0.000 0.000 0.000
6.348 1.989 2.022
3.249 0.000 1.673
9.990 1.989 4.039
7.149 0.000 4.519
9.188 0.000 1.541
6.348 -1.989 2.022
13.088 0.000 4.388
9.990 -1.989 4.039
3.880 0.000 5.182
12.457 0.000 0.878
```


Here is how they stack up, most stable first: #w, #x.


#w
LaPr4Sm2 | PBE | optimized geometry

Calculated values
- crystal system = triclinic

The structure in POSCAR format:
```
LaPr4Sm2
1.0
6.661 0.000 0.000
2.909 8.374 0.000
1.096 -0.182 8.979
La Pr Sm
2 8 4
Cartesian
0.000 0.000 0.000
4.376 1.383 7.869
1.830 4.591 0.471
1.880 1.710 2.490
3.823 6.238 3.023
5.380 5.182 7.265
5.213 3.277 1.300
5.301 0.352 3.595
8.742 6.448 6.444
7.629 2.693 6.586
5.309 8.102 5.458
3.952 3.313 4.810
6.245 7.063 0.852
7.097 5.040 3.822
```


#x
LaPr4Sm2 | PBE | optimized geometry

Calculated values
- crystal system = tetragonal

The structure in POSCAR format:
```
LaPr4Sm2
1.0
-2.348 2.348 11.634
2.348 -2.348 11.634
2.348 2.348 -11.634
La Pr Sm
1 4 2
Cartesian
0.000 0.000 0.000
0.000 0.000 3.210
2.348 0.000 5.817
0.000 2.348 5.817
0.000 0.000 20.058
0.000 0.000 9.322
0.000 0.000 13.945
```


Here is how they stack up, most stable first: #w, #x.